Entry from Alexandria: an optimized crystal structure of Pu2SbH (PBE-GGA).

Results
The value obtained for the final energy is -35.941 eV for the cell shown.

Cell lengths 3.856, 3.856, 5.738 Å; angles 70.37, 70.37, 60.00 degrees
Sites, in units of the cell vectors:
Sb: 0.500 0.500 0.500
Pu: 0.302 0.302 0.095
Pu: 0.698 0.698 0.905
H: 0.000 0.000 0.000